(1)
VASP calculation (PBE-GGA) on crystalline NaB2OsO6 at its relaxed geometry.

Cell and atoms, written as extended XYZ:
```
10
Lattice="2.4314 1.4038 5.3975 -2.4314 1.4038 5.3975 0.0000 -2.8076 5.3975" Properties=species:S:1:pos:R:3 pbc="T T T"
Na 0.0000 0.0000 0.0000
B 0.0000 0.0000 3.8011
B 0.0000 0.0000 12.3914
Os 0.0000 0.0000 8.0963
O -1.5829 -0.3114 6.9507
O -0.5217 -1.5266 9.2418
O -1.0612 1.2151 9.2418
O 1.0612 -1.2151 6.9507
O 0.5217 1.5266 6.9507
O 1.5829 0.3114 9.2419
```

Results
As for the total energy: -0.2704 hartree per atom. As for the uncorrected formation energy: -1.79 eV per atom. As for the mass density: 5.0 Mg/m³. Its space-group type is R-3, No. 148.

(2)
VASP calculation (PBE-GGA) on crystalline CsTaMoAu2 at its relaxed geometry.

Cell and atoms, written as extended XYZ:
```
5
Lattice="5.1500 0.0000 0.0000 0.0000 5.1500 0.0000 0.0000 0.0000 5.3808" Properties=species:S:1:pos:R:3 pbc="T T T"
Cs 0.0000 0.0000 0.0000
Ta 2.5750 2.5750 0.0000
Mo 0.0000 0.0000 2.6904
Au 0.0000 2.5750 2.6904
Au 2.5750 0.0000 2.6904
```

Results
As for the total energy: -0.1402 hartree per atom. The energy of formation from the pure elements comes out at 2.204 eV/atom. The calculation puts the density of states at the Fermi level at 10.76 states/eV/f.u. As for the mass density: 9.4 Mg/m³. Its space-group type is P4/mmm, No. 123.

(3)
VASP calculation (PBE-GGA) on crystalline ThIn2Ag at its relaxed geometry.

Cell and atoms, written as extended XYZ:
```
4
Lattice="3.5650 0.0000 0.0000 0.0000 3.5650 0.0000 0.0000 0.0000 7.7687" Properties=species:S:1:pos:R:3 pbc="T T T"
Th 0.0000 0.0000 0.0000
In 1.7825 1.7825 2.2490
In 1.7825 1.7825 5.5197
Ag 0.0000 0.0000 3.8844
```

Results
As for the total energy: -0.1505 hartree per atom. The energy of formation from the pure elements comes out at -0.158 eV/atom. The calculation puts the density of states at the Fermi level at 2.70 states/eV/f.u. As for the mass density: 9.6 Mg/m³. Its space-group type is P4/mmm, No. 123.

(4)
VASP calculation (PBE-GGA) on crystalline K3TcBr at its relaxed geometry.

Cell and atoms, written as extended XYZ:
```
5
Lattice="6.2162 0.0000 0.0000 0.0000 6.2162 0.0000 0.0000 0.0000 6.2162" Properties=species:S:1:pos:R:3 pbc="T T T"
K 0.0000 0.0000 3.1081
K 0.0000 3.1081 0.0000
K 3.1081 0.0000 0.0000
Tc 3.1081 3.1081 3.1081
Br 0.0000 0.0000 0.0000
```

Results
As for the total energy: -0.0987 hartree per atom. As for the uncorrected formation energy: 0.38 eV per atom. The calculation puts the density of states at the Fermi level at 3.28 states/eV/f.u. The calculation puts the relative energy among the computed polymorphs at 0.000 eV/atom. As for the mass density: 2.0 Mg/m³. Its space-group type is Pm-3m, No. 221.

The lowest mass density belongs to which entry?
K3TcBr